Entry i
Below is a relaxed CrFe2NiOs crystal, with properties calculated at the GGA-PBE level.

Cell and atoms, written as extended XYZ:
```
5
Lattice="4.435 0.000 0.000 0.000 4.435 0.000 0.000 0.000 4.463" Properties=species:S:1:pos:R:3 pbc="T T T"
Cr 0.000 0.000 0.000
Fe 0.000 2.217 2.231
Fe 2.217 0.000 2.231
Ni 2.217 2.217 0.000
Os 2.217 2.217 2.231
```

Output
Space group: P4/mmm, No. 123

***

Entry ii
Below is a relaxed CrFe2NiOs crystal, with properties calculated at the GGA-PBE level.

Cell and atoms, written as extended XYZ:
```
5
Lattice="4.162 0.000 0.000 0.000 4.162 0.000 0.000 0.000 4.413" Properties=species:S:1:pos:R:3 pbc="T T T"
Cr 0.000 0.000 0.000
Fe 0.000 2.081 0.000
Fe 2.081 0.000 0.000
Ni 2.081 2.081 2.207
Os 0.000 0.000 2.207
```

Output
Space group: P4/mmm, No. 123

***

Looking at the structures above, which would you pick as the most stable? I would pick entry ii.